[1]
A geometry-optimized Te2AuBrN structure. Source: Alexandria, functional PBE.

Cell lengths 5.807, 5.807, 3.658 Å; angles 90.00, 90.00, 90.00 degrees
Positions (direct):
N 0.000 0.000 0.500
Te 0.500 0.000 0.000
Au 0.500 0.500 0.500
Br 0.000 0.000 0.000
Te 0.000 0.500 0.000

Space-group type = P4/mmm, No. 123
Density of states at the Fermi level = 0.749 states/eV per atom
Calculated volume = 123 Å³ per cell
Polymorph energy (0 for the lowest one) = 2.35 eV per formula unit
Magnetic moment = 0.0000 μB/atom
Calculated density = 7.4 g cm⁻³

---

[2]
A geometry-optimized Te2AuBrN structure. Source: Alexandria, functional PBE.

Cell lengths 5.900, 5.900, 3.736 Å; angles 90.00, 90.00, 90.00 degrees
Positions (direct):
Au 0.000 0.000 0.000
Te 0.000 0.500 0.000
Br 0.500 0.500 0.500
N 0.000 0.000 0.500
Te 0.500 0.000 0.000

Space-group type = P4/mmm, No. 123
Density of states at the Fermi level = 1.128 states/eV per atom
Calculated volume = 130 Å³ per cell
Polymorph energy (0 for the lowest one) = 0.00 eV per formula unit
Magnetic moment = 0.0000 μB/atom
Calculated density = 7.0 g cm⁻³

---

[3]
A geometry-optimized TiAuBrN2 structure. Source: Alexandria, functional PBE.

Cell lengths 3.882, 5.883, 3.882 Å; angles 90.00, 90.00, 90.00 degrees
Positions (direct):
Au 0.500 0.500 0.500
N 0.500 0.000 0.000
N 0.000 0.000 0.500
Br 0.000 0.500 0.000
Ti 0.000 0.000 0.000

Space-group type = P4/mmm, No. 123
Calculated total energy = -27.2 eV for the cell shown
Density of states at the Fermi level = 0.492 states/eV per atom
Calculated volume = 89 Å³ per cell
Magnetic moment = 0.0000 μB/atom
Calculated density = 6.6 g cm⁻³

---

Copy entry 1 word for word.
A geometry-optimized Te2AuBrN structure. Source: Alexandria, functional PBE.

Cell lengths 5.807, 5.807, 3.658 Å; angles 90.00, 90.00, 90.00 degrees
Positions (direct):
N 0.000 0.000 0.500
Te 0.500 0.000 0.000
Au 0.500 0.500 0.500
Br 0.000 0.000 0.000
Te 0.000 0.500 0.000

Space-group type = P4/mmm, No. 123
Density of states at the Fermi level = 0.749 states/eV per atom
Calculated volume = 123 Å³ per cell
Polymorph energy (0 for the lowest one) = 2.35 eV per formula unit
Magnetic moment = 0.0000 μB/atom
Calculated density = 7.4 g cm⁻³

---

What did the third record say?
A geometry-optimized TiAuBrN2 structure. Source: Alexandria, functional PBE.

Cell lengths 3.882, 5.883, 3.882 Å; angles 90.00, 90.00, 90.00 degrees
Positions (direct):
Au 0.500 0.500 0.500
N 0.500 0.000 0.000
N 0.000 0.000 0.500
Br 0.000 0.500 0.000
Ti 0.000 0.000 0.000

Space-group type = P4/mmm, No. 123
Calculated total energy = -27.2 eV for the cell shown
Density of states at the Fermi level = 0.492 states/eV per atom
Calculated volume = 89 Å³ per cell
Magnetic moment = 0.0000 μB/atom
Calculated density = 6.6 g cm⁻³